{"formula": "KMo2P4O14", "functional": "PBE with a Hubbard U", "state": "optimized geometry", "lattice": [[5.008, 0.000, 0.000], [-1.806, 7.149, 0.000], [-0.517, -0.162, 8.333]], "species": ["K", "Mo", "Mo", "P", "P", "P", "P", "O", "O", "O", "O", "O", "O", "O", "O", "O", "O", "O", "O", "O", "O"], "frac_coords": [[0.000, 0.000, 0.000], [0.000, 0.000, 0.500], [0.500, 0.500, 0.000], [0.003, 0.389, 0.251], [0.376, 0.764, 0.299], [0.624, 0.236, 0.701], [0.997, 0.611, 0.749], [0.082, 0.782, 0.651], [0.167, 0.348, 0.107], [0.179, 0.893, 0.301], [0.205, 0.555, 0.354], [0.247, 0.540, 0.812], [0.381, 0.187, 0.580], [0.449, 0.740, 0.123], [0.551, 0.260, 0.877], [0.619, 0.813, 0.420], [0.753, 0.460, 0.188], [0.795, 0.445, 0.646], [0.821, 0.107, 0.699], [0.833, 0.652, 0.893], [0.918, 0.218, 0.349]], "total_magnetization_mub_per_cell": 5.00, "e_tot_ev_per_cell": -151.38, "crystal_system": "triclinic", "mass_density_g_cm3": 3.222, "sg": "No. 2"}